one:
# Zr4Sn3

A relaxed Zr4Sn3 crystal (PBE, OQMD via LeMat-Bulk).

Cell lengths 8.281, 8.281, 5.527 Å; angles 90.00, 90.00, 60.00 degrees
Sites, in units of the cell vectors:
1 Sn 0.736 0.409 0.000
2 Sn 0.266 0.569 0.000
3 Sn 0.426 0.879 0.000
4 Sn 0.526 0.359 0.500
5 Sn 0.687 0.669 0.500
6 Sn 0.216 0.829 0.500
7 Zr 0.571 0.164 0.000
8 Zr 0.143 0.286 0.000
9 Zr 0.836 0.714 0.000
10 Zr 0.021 0.979 0.000
11 Zr 0.381 0.074 0.500
12 Zr 0.932 0.259 0.500
13 Zr 0.116 0.524 0.500
14 Zr 0.810 0.952 0.500

Results
* symmetry: No. 176
* spin magnetization: 0.11 μB per formula unit
* V: 23.45 A^3/atom

---

two:
# Zr4Sn3

A relaxed Zr4Sn3 crystal (PBE, OQMD via LeMat-Bulk).

Cell lengths 8.355, 8.355, 5.290 Å; angles 90.00, 90.00, 60.00 degrees
Sites, in units of the cell vectors:
1 Sn 0.140 0.266 0.000
2 Sn 0.309 0.568 0.000
3 Sn 0.837 0.737 0.000
4 Sn 0.384 0.115 0.500
5 Sn 0.686 0.644 0.500
6 Sn 0.215 0.813 0.500
7 Zr 0.549 0.167 0.000
8 Zr 0.739 0.427 0.000
9 Zr 0.429 0.857 0.000
10 Zr 0.998 0.977 0.000
11 Zr 0.975 0.214 0.500
12 Zr 0.526 0.403 0.500
13 Zr 0.095 0.524 0.500
14 Zr 0.785 0.954 0.500

Results
* symmetry: No. 176
* spin magnetization: 0.01 μB per formula unit
* V: 22.85 A^3/atom

---

Which is most stable, and by how much? two, by 124 meV/atom.

---

one:
# Zr3Sn7

A relaxed Zr3Sn7 crystal (PBE, OQMD via LeMat-Bulk).

Cell lengths 13.346, 13.346, 4.230 Å; angles 90.00, 90.00, 161.54 degrees
Sites, in units of the cell vectors:
1 Sn 0.599 0.401 0.000
2 Sn 0.401 0.599 0.000
3 Sn 0.902 0.098 0.500
4 Sn 0.710 0.290 0.500
5 Sn 0.500 0.500 0.500
6 Sn 0.290 0.710 0.500
7 Sn 0.098 0.902 0.500
8 Zr 0.000 0.000 0.000
9 Zr 0.811 0.189 0.000
10 Zr 0.189 0.811 0.000

Results
* symmetry: No. 65
* spin magnetization: 0.05 μB per formula unit
* V: 23.86 A^3/atom

---

two:
# Zr3Sn7

A relaxed Zr3Sn7 crystal (PBE, OQMD via LeMat-Bulk).

Cell lengths 12.866, 12.866, 4.308 Å; angles 90.00, 90.00, 160.63 degrees
Sites, in units of the cell vectors:
1 Sn 0.903 0.097 0.000
2 Sn 0.500 0.500 0.000
3 Sn 0.097 0.903 0.000
4 Sn 0.791 0.209 0.500
5 Sn 0.598 0.402 0.500
6 Sn 0.402 0.598 0.500
7 Sn 0.209 0.791 0.500
8 Zr 0.688 0.312 0.000
9 Zr 0.312 0.688 0.000
10 Zr 0.000 0.000 0.500

Results
* symmetry: No. 65
* spin magnetization: 0.03 μB per formula unit
* V: 23.65 A^3/atom

---

Which is most stable, and by how much? two, by 70 meV/atom.

---

one:
# Sr2TbTc2

A relaxed Sr2TbTc2 crystal (PBE, OQMD via LeMat-Bulk).

Cell lengths 4.561, 4.561, 7.517 Å; angles 107.66, 107.66, 90.00 degrees
Sites, in units of the cell vectors:
1 Sr 0.750 0.250 0.500
2 Sr 0.250 0.750 0.500
3 Tb 0.000 0.000 0.000
4 Tc 0.579 0.579 0.157
5 Tc 0.421 0.421 0.843

Results
* symmetry: No. 139
* spin magnetization: 0.82 μB per formula unit
* V: 28.25 A^3/atom

---

two:
# Sr2TbTc2

A relaxed Sr2TbTc2 crystal (PBE, OQMD via LeMat-Bulk).

Cell lengths 5.185, 5.185, 6.219 Å; angles 114.64, 114.64, 90.00 degrees
Sites, in units of the cell vectors:
1 Sr 0.645 0.645 0.290
2 Sr 0.355 0.355 0.710
3 Tb 0.000 0.000 0.000
4 Tc 0.750 0.250 0.500
5 Tc 0.250 0.750 0.500

Results
* symmetry: No. 139
* spin magnetization: 2.32 μB per formula unit
* V: 27.01 A^3/atom

---

Which is most stable, and by how much? one, by 478 meV/atom.

---

one:
# SrTcTe

A relaxed SrTcTe crystal (PBE, OQMD via LeMat-Bulk).

Cell lengths 4.798, 4.798, 4.798 Å; angles 60.00, 60.00, 60.00 degrees
Sites, in units of the cell vectors:
1 Sr 0.250 0.250 0.250
2 Tc 0.000 0.000 0.000
3 Te 0.750 0.750 0.750

Results
* symmetry: No. 216
* spin magnetization: 1.39 μB per formula unit
* V: 26.03 A^3/atom

---

two:
# SrTcTe

A relaxed SrTcTe crystal (PBE, OQMD via LeMat-Bulk).

Cell lengths 5.274, 5.274, 5.274 Å; angles 60.00, 60.00, 60.00 degrees
Sites, in units of the cell vectors:
1 Sr 0.000 0.000 0.000
2 Tc 0.250 0.250 0.250
3 Te 0.750 0.750 0.750

Results
* symmetry: No. 216
* spin magnetization: 4.07 μB per formula unit
* V: 34.58 A^3/atom

---

Which is most stable, and by how much? one, by 653 meV/atom.